# 1
This record from Alexandria via LeMat-Bulk describes a relaxed structure of PmPr7Pd2. The functional is PBE.

a b c (Å): 8.737 8.737 5.488
angles (deg): 90.00 90.00 116.52
Element x y z (fractional)
Pm 0.000 0.000 0.000
Pr 0.056 0.314 0.500
Pr 0.281 0.719 0.000
Pr 0.314 0.056 0.500
Pr 0.500 0.500 0.500
Pr 0.686 0.944 0.500
Pr 0.719 0.281 0.000
Pr 0.944 0.686 0.500
Pd 0.302 0.698 0.500
Pd 0.698 0.302 0.500

Formation energy from the elements in eV/f.u.: -0.1
DOS(E_F) in states/eV/cell: 15.66
Space-group type: Cmmm (65)
Crystal system: orthorhombic

---

# 2
This record from Alexandria via LeMat-Bulk describes a relaxed structure of PrSm3Ho3. The functional is PBE.

a b c (Å): 6.373 6.373 6.373
angles (deg): 102.88 102.88 102.88
Element x y z (fractional)
Pr 0.000 0.000 0.000
Sm 0.053 0.413 0.413
Sm 0.413 0.053 0.413
Sm 0.413 0.413 0.053
Ho 0.454 0.855 0.855
Ho 0.855 0.454 0.855
Ho 0.855 0.855 0.454

Formation energy from the elements in eV/f.u.: 1.6
DOS(E_F) in states/eV/cell: 10.50
Space-group type: R3m (160)
Energy above the most stable polymorph in this dataset in eV/atom: 0.029
Crystal system: trigonal

---

# 3
This record from Alexandria via LeMat-Bulk describes a relaxed structure of Ca2RuPb. The functional is PBE.

a b c (Å): 3.548 3.548 8.499
angles (deg): 90.00 90.00 90.00
Element x y z (fractional)
Ca 0.000 0.000 0.000
Ca 0.500 0.500 0.375
Ru 0.500 0.500 0.784
Pb 0.000 0.000 0.627

Formation energy from the elements in eV/f.u.: 0.0
DOS(E_F) in states/eV/cell: 2.19
Space-group type: P4mm (99)
Crystal system: tetragonal

---

# 4
This record from Alexandria via LeMat-Bulk describes a relaxed structure of Dy4Sb2TeSe. The functional is PBE.

a b c (Å): 7.423 4.319 7.493
angles (deg): 90.00 109.65 90.00
Element x y z (fractional)
Dy 0.246 0.000 0.239
Dy 0.252 0.500 0.760
Dy 0.748 0.500 0.240
Dy 0.754 0.000 0.761
Sb 0.500 0.000 0.000
Sb 0.500 0.500 0.500
Te 0.000 0.000 0.500
Se 0.000 0.500 0.000

DOS(E_F) in states/eV/cell: 3.68
Space-group type: P2/m (10)
Raw formation energy in eV/atom: -1.335
Crystal system: monoclinic

---

# 5
This record from Alexandria via LeMat-Bulk describes a relaxed structure of RbTcPC2. The functional is PBE.

a b c (Å): 4.129 4.129 5.144
angles (deg): 90.00 90.00 90.00
Element x y z (fractional)
Rb 0.000 0.000 0.000
Tc 0.500 0.500 0.500
P 0.000 0.000 0.500
C 0.000 0.500 0.000
C 0.500 0.000 0.000

Formation energy from the elements in eV/f.u.: 20.2
DOS(E_F) in states/eV/cell: 5.91
Space-group type: P4/mmm (123)
Crystal system: tetragonal

---

# 6
This record from Alexandria via LeMat-Bulk describes a relaxed structure of Sc3AlO. The functional is PBE.

a b c (Å): 8.040 8.040 8.040
angles (deg): 157.92 107.93 76.44
Element x y z (fractional)
Sc 0.165 0.165 0.000
Sc 0.204 0.865 0.339
Sc 0.474 0.135 0.339
Sc 0.526 0.865 0.661
Sc 0.796 0.135 0.661
Sc 0.835 0.835 0.000
Al 0.146 0.500 0.646
Al 0.854 0.500 0.354
O 0.336 0.336 0.000
O 0.664 0.664 0.000

DOS(E_F) in states/eV/cell: 8.46
Space-group type: Immm (71)
Raw formation energy in eV/atom: -1.276
Crystal system: orthorhombic

---

# 7
This record from Alexandria via LeMat-Bulk describes a relaxed structure of Pt2Rh. The functional is PBE.

a b c (Å): 7.638 7.638 2.734
angles (deg): 90.00 90.00 120.00
Element x y z (fractional)
Pt 0.000 0.305 0.000
Pt 0.000 0.638 0.500
Pt 0.305 0.000 0.000
Pt 0.362 0.362 0.500
Pt 0.638 0.000 0.500
Pt 0.695 0.695 0.000
Rh 0.000 0.000 0.500
Rh 0.333 0.667 0.000
Rh 0.667 0.333 0.000

Formation energy from the elements in eV/f.u.: 0.3
DOS(E_F) in states/eV/cell: 20.48
Space-group type: P-62m (189)
Crystal system: hexagonal

---

# 8
This record from Alexandria via LeMat-Bulk describes a relaxed structure of CrAsHPd2. The functional is PBE.

a b c (Å): 3.928 3.928 4.160
angles (deg): 90.00 90.00 90.00
Element x y z (fractional)
Cr 0.000 0.000 0.000
As 0.500 0.500 0.000
H 0.000 0.000 0.500
Pd 0.000 0.500 0.500
Pd 0.500 0.000 0.500

DOS(E_F) in states/eV/cell: 3.25
Space-group type: P4/mmm (123)
Uncorrected energy in eV/cell: -28.4
Crystal system: tetragonal

---

# 9
This record from Alexandria via LeMat-Bulk describes a relaxed structure of K3Np2CuS6. The functional is PBE.

a b c (Å): 7.028 7.028 7.618
angles (deg): 97.76 97.76 122.96
Element x y z (fractional)
K 0.000 0.000 0.000
K 0.343 0.657 0.000
K 0.657 0.343 0.000
Np 0.165 0.835 0.500
Np 0.835 0.165 0.500
Cu 0.500 0.500 0.500
S 0.076 0.436 0.293
S 0.250 0.250 0.676
S 0.436 0.076 0.293
S 0.564 0.924 0.707
S 0.750 0.750 0.324
S 0.924 0.564 0.707

DOS(E_F) in states/eV/cell: 14.75
Space-group type: C2/m (12)
Raw formation energy in eV/atom: -1.147
Crystal system: monoclinic

---

# 10
This record from Alexandria via LeMat-Bulk describes a relaxed structure of YCd2Ag. The functional is PBE.

a b c (Å): 9.666 9.666 9.666
angles (deg): 20.51 20.51 20.51
Element x y z (fractional)
Y 0.000 0.000 0.000
Cd 0.242 0.242 0.242
Cd 0.758 0.758 0.758
Ag 0.500 0.500 0.500

Formation energy from the elements in eV/f.u.: -0.2
DOS(E_F) in states/eV/cell: 2.84
Space-group type: R-3m (166)
Crystal system: trigonal

---

# 11
This record from Alexandria via LeMat-Bulk describes a relaxed structure of CdIn2Sb. The functional is PBE.

a b c (Å): 6.958 6.958 6.958
angles (deg): 38.84 38.84 38.84
Element x y z (fractional)
Cd 0.000 0.000 0.000
In 0.587 0.587 0.587
In 0.756 0.756 0.756
Sb 0.170 0.170 0.170

DOS(E_F) in states/eV/cell: 1.54
Space-group type: R3m (160)
Raw formation energy in eV/atom: 0.050
Energy above the most stable polymorph in this dataset in eV/atom: 0.013
Crystal system: trigonal

---

# 12
This record from Alexandria via LeMat-Bulk describes a relaxed structure of Ce2Si2Tc3. The functional is PBE.

a b c (Å): 5.611 5.611 6.266
angles (deg): 108.14 108.14 44.30
Element x y z (fractional)
Ce 0.118 0.118 0.322
Ce 0.882 0.882 0.678
Si 0.402 0.402 0.311
Si 0.598 0.598 0.689
Tc 0.196 0.196 0.902
Tc 0.500 0.500 0.000
Tc 0.804 0.804 0.098

DOS(E_F) in states/eV/cell: 6.19
Space-group type: C2/m (12)
Raw formation energy in eV/atom: -0.450
Crystal system: monoclinic

---

# 13
This record from Alexandria via LeMat-Bulk describes a relaxed structure of TbEr6Tm6. The functional is PBE.

a b c (Å): 6.548 6.548 11.239
angles (deg): 90.00 90.00 120.00
Element x y z (fractional)
Tb 0.000 0.000 0.000
Er 0.000 0.000 0.346
Er 0.000 0.000 0.654
Er 0.333 0.667 0.000
Er 0.333 0.667 0.500
Er 0.667 0.333 0.000
Er 0.667 0.333 0.500
Tm 0.000 0.500 0.242
Tm 0.000 0.500 0.758
Tm 0.500 0.000 0.242
Tm 0.500 0.000 0.758
Tm 0.500 0.500 0.242
Tm 0.500 0.500 0.758

Formation energy from the elements in eV/f.u.: 3.7
DOS(E_F) in states/eV/cell: 26.92
Space-group type: P6/mmm (191)
Crystal system: hexagonal